A geometry-optimized AlCo2S structure. Source: Alexandria, functional PBE-GGA.

Cell lengths 5.770, 5.770, 5.770 Å; angles 90.00, 90.00, 90.00 degrees
Space group Fm-3m (No. 225)
One atom of each set of equivalent atoms:
Al 0.000 0.000 0.000
Co 0.250 0.250 0.250
S 0.000 0.000 0.500

Calculated values
For the calculated density, the calculation gives 6.12 Mg/m³. As for the total energy: -5.486 eV per atom. The total magnetic moment comes out at 2.06 μB per formula unit. Its volume is 192.1 Å³ per cell. As for the formation energy without anion corrections: 0.034 eV per atom.



A geometry-optimized CsTbCdTe3 structure. Source: Alexandria, functional PBE-GGA.

Cell lengths 4.556, 17.347, 11.904 Å; angles 90.00, 90.00, 90.00 degrees
Space group Cmcm (No. 63)
One atom of each set of equivalent atoms:
Cs 0.000 0.249 0.250
Tb 0.000 0.000 0.000
Cd 0.000 0.463 0.750
Te 0.000 0.066 0.750
Te 0.000 0.379 0.547

Calculated values
For the calculated density, the calculation gives 5.56 Mg/m³. As for the total energy: -3.735 eV per atom. The total magnetic moment comes out at 0.00 μB per formula unit. Its volume is 940.7 Å³ per cell. As for the formation energy without anion corrections: -1.098 eV per atom.



A geometry-optimized AcTbYZn structure. Source: Alexandria, functional PBE-GGA.

Cell lengths 7.834, 7.834, 7.834 Å; angles 90.00, 90.00, 90.00 degrees
Space group F-43m (No. 216)
One atom of each set of equivalent atoms:
Ac 0.000 0.000 0.000
Tb 0.250 0.250 0.750
Y 0.250 0.250 0.250
Zn 0.000 0.000 0.500

Calculated values
For the calculated density, the calculation gives 7.46 Mg/m³. As for the total energy: -3.938 eV per atom. The total magnetic moment comes out at 0.00 μB per formula unit. Its volume is 480.8 Å³ per cell.